Entry 1:
The following is a PBE calculation of crystalline NaTiAs2 at its relaxed geometry, from Alexandria.

Computed properties:
The value obtained for the energy of formation is -0.9 eV per formula unit. The energy above the most stable polymorph in this dataset comes out at 331 meV/atom.

a b c (Å): 5.5284 5.5284 8.7850
angles (deg): 71.66 71.66 90.00
Last column: nearest neighbours and their distance in Å.
Element x y z (fractional)
As1 0.9426 0.6250 0.2500  2 Ti 2.43
Ti1 0.0000 0.0000 0.0000  4 As 2.43
Ti2 0.7500 0.2500 0.5000  4 As 2.43
As2 0.8074 0.1250 0.2500  2 Ti 2.43
Na1 0.5000 0.5000 0.0000  4 As 3.39
As3 0.8750 0.0574 0.7500  2 Ti 2.43
As4 0.3750 0.1926 0.7500  2 Ti 2.43
Na2 0.2500 0.7500 0.5000  4 As 3.39

***

Entry 2:
The following is a PBE calculation of crystalline Ce4AgAu3 at its relaxed geometry, from Alexandria.

Computed properties:
The value obtained for the energy of formation is -3.8 eV per formula unit. The energy above the most stable polymorph in this dataset comes out at 0 meV/atom.

a b c (Å): 3.8394 4.7628 11.4915
angles (deg): 90.00 90.00 90.00
Last column: nearest neighbours and their distance in Å.
Element x y z (fractional)
Au1 0.0000 0.5000 0.5848  2 Au 3.08, 7 Ce 3.11-3.19
Ce1 0.5000 0.0000 0.6405  7 Au 3.13-3.22
Ce2 0.5000 0.5000 0.3627  6 Au 3.12-3.19, 1 Ag 3.25
Ag1 0.5000 0.5000 0.0802  2 Au 3.02, 7 Ce 3.14-3.25
Ce3 0.0000 0.5000 0.8558  5 Au 3.11-3.14, 2 Ag 3.22
Au2 0.0000 0.0000 0.4154  2 Au 3.08, 7 Ce 3.12-3.22
Au3 0.5000 0.0000 0.9181  2 Ag 3.02, 7 Ce 3.14-3.21
Ce4 0.0000 0.0000 0.1424  3 Au 3.14-3.21, 4 Ag 3.14

***

Entry 3:
The following is a PBE calculation of crystalline NaZrZnOs2 at its relaxed geometry, from Alexandria.

Computed properties:
The value obtained for the energy of formation is 9.4 eV per formula unit.

a b c (Å): 4.8493 5.2573 4.8493
angles (deg): 90.00 90.00 90.00
Last column: nearest neighbours and their distance in Å.
Element x y z (fractional)
Os1 0.5000 0.0000 0.0000  2 Zr 2.42
Na1 0.0000 0.5000 0.0000  2 Zr 2.63
Os2 0.0000 0.0000 0.5000  2 Zr 2.42
Zr1 0.0000 0.0000 0.0000  4 Os 2.42, 2 Na 2.63
Zn1 0.5000 0.5000 0.5000  4 Na 3.43, 8 Os 3.58

***

Entry 4:
The following is a PBE calculation of crystalline AcLa2Mg2Pb2 at its relaxed geometry, from Alexandria.

Computed properties:
The value obtained for the energy of formation is -1.9 eV per formula unit.

a b c (Å): 5.1464 5.1464 10.0934
angles (deg): 75.23 75.23 60.00
Last column: nearest neighbours and their distance in Å.
Element x y z (fractional)
La1 0.1345 0.1345 0.5964  3 Mg 3.33, 3 La 3.51, 3 Pb 3.51
Mg1 0.4163 0.4163 0.7511  3 Pb 3.00, 3 La 3.33
Pb1 0.2634 0.2634 0.2099  3 Mg 3.00
Mg2 0.5837 0.5837 0.2489  3 Pb 3.00, 3 La 3.33
Ac1 0.0000 0.0000 0.0000  6 Pb 3.60, 6 Mg 3.82, 2 La 3.89
Pb2 0.7366 0.7366 0.7901  3 Mg 3.00
La2 0.8655 0.8655 0.4036  3 Mg 3.33, 3 La 3.51, 3 Pb 3.51

***

Entry 5:
The following is a PBE calculation of crystalline Ca2Zn5CuRh2 at its relaxed geometry, from Alexandria.

Computed properties:
The value obtained for the energy of formation is -2.7 eV per formula unit.

a b c (Å): 3.2401 10.4146 10.4146
angles (deg): 90.00 90.00 90.00
Last column: nearest neighbours and their distance in Å.
Element x y z (fractional)
Ca1 0.0000 0.8241 0.6759  1 Rh 2.84, 2 Zn 3.06
Zn1 0.5000 0.0000 0.5000  4 Rh 2.52
Zn2 0.5000 0.8149 0.9436  2 Cu 2.59, 2 Rh 2.62, 2 Zn 2.85
Ca2 0.0000 0.3241 0.8241  1 Rh 2.84, 2 Zn 3.06
Rh1 0.0000 0.1315 0.6315  6 Zn 2.52-2.62
Rh2 0.0000 0.3685 0.1315  6 Zn 2.52-2.62
Zn3 0.5000 0.4436 0.3149  2 Cu 2.59, 2 Rh 2.62, 2 Zn 2.85
Zn4 0.5000 0.9436 0.1851  2 Cu 2.59, 2 Rh 2.62, 2 Zn 2.85
Zn5 0.5000 0.0564 0.8149  2 Cu 2.59, 2 Rh 2.62, 2 Zn 2.85
Zn6 0.5000 0.3149 0.5564  2 Cu 2.59, 2 Rh 2.62, 2 Zn 2.85
Rh3 0.0000 0.6315 0.8685  6 Zn 2.52-2.62
Ca3 0.0000 0.1759 0.3241  1 Rh 2.84, 2 Zn 3.06
Zn7 0.5000 0.6851 0.4436  2 Cu 2.59, 2 Rh 2.62, 2 Zn 2.85
Cu1 0.0000 0.5000 0.5000  8 Zn 2.59
Zn8 0.5000 0.5000 0.0000  4 Rh 2.52
Zn9 0.5000 0.1851 0.0564  2 Cu 2.59, 2 Rh 2.62, 2 Zn 2.85
Cu2 0.0000 0.0000 0.0000  8 Zn 2.59
Ca4 0.0000 0.6759 0.1759  1 Rh 2.84, 2 Zn 3.06
Rh4 0.0000 0.8685 0.3685  6 Zn 2.52-2.62
Zn10 0.5000 0.5564 0.6851  2 Cu 2.59, 2 Rh 2.62, 2 Zn 2.85

***

Entry 6:
The following is a PBE calculation of crystalline Ce3PrTl3 at its relaxed geometry, from Alexandria.

Computed properties:
The value obtained for the energy of formation is -1.0 eV per formula unit.

a b c (Å): 5.1238 9.6693 9.6693
angles (deg): 120.00 90.00 90.00
Last column: nearest neighbours and their distance in Å.
Element x y z (fractional)
Ce1 0.2500 0.7773 0.7759  4 Tl 3.24-3.50, 4 Ce 3.35
Tl1 0.2500 0.5458 0.9307  2 Tl 3.21, 4 Ce 3.24-3.50, 3 Pr 3.46-3.47
Pr1 0.7500 0.3333 0.6667  9 Tl 3.46-3.47, 3 Ce 3.86
Ce2 0.7500 0.2227 0.2241  4 Tl 3.24-3.50, 4 Ce 3.35
Tl2 0.7500 0.4542 0.0693  2 Tl 3.21, 4 Ce 3.24-3.50, 3 Pr 3.46-3.47
Tl3 0.2500 0.3849 0.4542  2 Tl 3.21, 4 Ce 3.24-3.50, 3 Pr 3.46-3.47
Ce3 0.2500 0.9985 0.2227  4 Tl 3.24-3.50, 4 Ce 3.35
Tl4 0.2500 0.0693 0.6151  2 Tl 3.21, 4 Ce 3.24-3.50, 3 Pr 3.46-3.47
Tl5 0.7500 0.9307 0.3849  2 Tl 3.21, 4 Ce 3.24-3.50, 3 Pr 3.46-3.47
Tl6 0.7500 0.6151 0.5458  2 Tl 3.21, 4 Ce 3.24-3.50, 3 Pr 3.46-3.47
Pr2 0.2500 0.6667 0.3333  9 Tl 3.46-3.47, 3 Ce 3.86
Ce4 0.7500 0.7759 0.9985  4 Tl 3.24-3.50, 4 Ce 3.35
Ce5 0.2500 0.2241 0.0015  4 Tl 3.24-3.50, 4 Ce 3.35
Ce6 0.7500 0.0015 0.7773  4 Tl 3.24-3.50, 4 Ce 3.35

***

Entry 7:
The following is a PBE calculation of crystalline Mg6Cd2Hg at its relaxed geometry, from Alexandria.

Computed properties:
The value obtained for the energy of formation is -1.1 eV per formula unit. The energy above the most stable polymorph in this dataset comes out at 0 meV/atom.

a b c (Å): 3.3267 8.2736 8.2767
angles (deg): 119.99 90.00 90.00
Last column: nearest neighbours and their distance in Å.
Element x y z (fractional)
Mg1 0.5000 0.6282 0.0000  1 Hg 3.08, 4 Cd 3.10, 8 Mg 3.25-3.33
Mg2 0.0000 0.0000 0.2872  2 Hg 2.90, 2 Cd 2.97
Hg1 0.5000 0.9999 0.0000  9 Mg 2.90-3.08
Mg3 0.0000 0.7129 0.7128  2 Hg 2.90, 2 Cd 2.97
Mg4 0.0000 0.2871 0.0000  2 Hg 2.90, 2 Cd 2.97
Mg5 0.5000 0.0000 0.6280  1 Hg 3.08, 4 Cd 3.10, 8 Mg 3.25-3.33
Mg6 0.5000 0.3719 0.3720  1 Hg 3.08, 4 Cd 3.10, 8 Mg 3.25-3.33
Cd1 0.0000 0.6666 0.3333  9 Mg 2.97-3.10
Cd2 0.0000 0.3333 0.6667  9 Mg 2.97-3.10

***

Entry 8:
The following is a PBE calculation of crystalline Y4BiSe2 at its relaxed geometry, from Alexandria.

Computed properties:
For the energy relative to the elements, uncorrected, the calculation gives -1.27 eV per atom.

a b c (Å): 4.1614 6.9854 13.8378
angles (deg): 90.00 90.00 107.33
Last column: nearest neighbours and their distance in Å.
Element x y z (fractional)
Y1 0.7685 0.5370 0.1207  3 Se 2.80-2.87
Bi1 0.3952 0.7904 0.2500  6 Y 3.12-3.22
Bi2 0.6048 0.2096 0.7500  6 Y 3.12-3.22
Se1 0.1352 0.2704 0.0590  6 Y 2.78-2.87
Y2 0.2315 0.4630 0.6207  3 Se 2.80-2.87
Se2 0.8648 0.7296 0.5590  6 Y 2.78-2.87
Y3 0.7685 0.5370 0.3793  3 Se 2.80-2.87
Y4 0.5000 0.0000 0.5000  4 Se 2.87
Se3 0.1352 0.2704 0.4410  6 Y 2.78-2.87
Se4 0.8648 0.7296 0.9410  6 Y 2.78-2.87
Y5 0.9301 0.8603 0.7500  2 Se 2.78
Y6 0.2315 0.4630 0.8793  3 Se 2.80-2.87
Y7 0.0699 0.1397 0.2500  2 Se 2.78
Y8 0.5000 0.0000 0.0000  4 Se 2.87

***

Entry 9:
The following is a PBE calculation of crystalline Ac3AgHg2 at its relaxed geometry, from Alexandria.

Computed properties:
The value obtained for the energy of formation is -2.4 eV per formula unit.

a b c (Å): 4.0136 4.0136 12.1026
angles (deg): 90.00 90.00 90.00
Last column: nearest neighbours and their distance in Å.
Element x y z (fractional)
Ac1 0.0000 0.0000 0.3385  4 Ag 3.45, 4 Hg 3.51
Hg1 0.5000 0.5000 0.1679  8 Ac 3.49-3.51
Hg2 0.5000 0.5000 0.8321  8 Ac 3.49-3.51
Ac2 0.0000 0.0000 0.6615  4 Ag 3.45, 4 Hg 3.51
Ag1 0.5000 0.5000 0.5000  8 Ac 3.45
Ac3 0.0000 0.0000 0.0000  8 Hg 3.49

***

Entry 10:
The following is a PBE calculation of crystalline TePt2W at its relaxed geometry, from Alexandria.

Computed properties:
For the energy relative to the elements, uncorrected, the calculation gives 0.01 eV per atom.

a b c (Å): 2.9218 2.9218 8.6244
angles (deg): 90.00 90.00 89.96
Last column: nearest neighbours and their distance in Å.
Element x y z (fractional)
Te1 0.5000 0.5000 0.2500  4 Te 2.92, 8 Pt 3.24
Pt1 0.0000 0.0000 0.5393  4 W 2.75, 4 Pt 2.92
Pt2 0.0000 0.0000 0.9607  4 W 2.75, 4 Pt 2.92
W1 0.5000 0.5000 0.7500  8 Pt 2.75, 4 W 2.92

***

Entry 11:
The following is a PBE calculation of crystalline MnSbTe2P at its relaxed geometry, from Alexandria.

Computed properties:
For the energy relative to the elements, uncorrected, the calculation gives 1.23 eV per atom. The energy above the most stable polymorph in this dataset comes out at 541 meV/atom.

a b c (Å): 5.2436 5.2436 5.0039
angles (deg): 90.00 90.00 90.00
Last column: nearest neighbours and their distance in Å.
Element x y z (fractional)
Te1 0.5000 0.0000 0.0000  2 P 2.62
Mn1 0.5000 0.5000 0.5000  8 Te 3.62, 4 Sb 3.71
Te2 0.0000 0.5000 0.0000  2 P 2.62
Sb1 0.0000 0.0000 0.5000  2 P 2.50
P1 0.0000 0.0000 0.0000  2 Sb 2.50, 4 Te 2.62

***

Entry 12:
The following is a PBE calculation of crystalline TaAlAg3 at its relaxed geometry, from Alexandria.

Computed properties:
The value obtained for the energy of formation is 7.7 eV per formula unit. The energy above the most stable polymorph in this dataset comes out at 468 meV/atom.

a b c (Å): 5.1917 5.1917 5.1917
angles (deg): 90.00 90.00 90.00
Last column: nearest neighbours and their distance in Å.
Element x y z (fractional)
Ag1 0.5000 0.0000 0.0000  2 Ta 2.60
Ag2 0.0000 0.5000 0.0000  2 Ta 2.60
Al1 0.5000 0.5000 0.5000  12 Ag 3.67
Ag3 0.0000 0.0000 0.5000  2 Ta 2.60
Ta1 0.0000 0.0000 0.0000  6 Ag 2.60

***

Calculated DOS(E_F), 0.59, 3.00, 0.94, 1.00, 0.68, 2.60, 0.28, 0.60, 0.96, 0.84, 1.05, 0.91 states/eV/atom (same order as the records).